(1)
# Ac3PmPb2N

A relaxed Ac3PmPb2N crystal (PBE, Alexandria).

Properties
- Total magnetization: 0.000 μB/atom
- Uncorrected formation energy: -0.7303 eV per atom
- DOS at the Fermi energy: 0.765 states/eV per atom

Structure (CIF):
```
data_Ac3PmPb2N
_space_group_name_H-M_alt 'P 1'
_space_group_IT_number 1
_cell_length_a 5.045
_cell_length_b 5.190
_cell_length_c 9.539
_cell_angle_alpha 105.79
_cell_angle_beta 105.33
_cell_angle_gamma 90.00
loop_
_space_group_symop_operation_xyz
'x,y,z'
loop_
_atom_site_label
_atom_site_type_symbol
_atom_site_fract_x
_atom_site_fract_y
_atom_site_fract_z
Ac1 Ac 0.164 0.164 0.328
Ac2 Ac 0.836 0.836 0.672
Ac3 Ac 0.000 0.500 0.000
Pm1 Pm 0.500 0.000 0.000
Pb1 Pb 0.639 0.639 0.277
Pb2 Pb 0.361 0.361 0.723
N1 N 0.000 0.000 0.000
```

(2)
# KSiAgH6

A relaxed KSiAgH6 crystal (PBE, Alexandria).

Properties
- Energy: -3.174 eV/atom
- Total magnetization: 0.000 μB/atom
- DOS at the Fermi energy: 0.025 states/eV per atom

Structure (CIF):
```
data_KSiAgH6
_space_group_name_H-M_alt 'P 1'
_space_group_IT_number 1
_cell_length_a 5.012
_cell_length_b 5.012
_cell_length_c 5.298
_cell_angle_alpha 90.02
_cell_angle_beta 89.99
_cell_angle_gamma 59.96
loop_
_space_group_symop_operation_xyz
'x,y,z'
loop_
_atom_site_label
_atom_site_type_symbol
_atom_site_fract_x
_atom_site_fract_y
_atom_site_fract_z
H1 H 0.595 0.067 0.322
H2 H 0.067 0.338 0.323
H3 H 0.067 0.596 0.678
H4 H 0.596 0.337 0.677
H5 H 0.338 0.596 0.323
H6 H 0.338 0.067 0.677
Ag1 Ag 0.666 0.667 0.500
K1 K 0.000 0.000 0.000
Si1 Si 0.333 0.333 0.500
```